1.
SrZn (GGA-PBEsol, optimized geometry); symmetry = P-3m1; uncorrected energy = -1.67 eV per atom; energy of formation = 0.042 eV per atom; V = 33.66 Å³ per atom
1.0
4.159 0.000 0.000
-2.080 3.602 0.000
0.000 0.000 8.988
Zn Sr
2 2
Direct
0.667 0.333 0.448 Zn
0.333 0.667 0.552 Zn
0.667 0.333 0.803 Sr
0.333 0.667 0.197 Sr



2.
SrZn (GGA-PBEsol, optimized geometry); symmetry = Pnma; uncorrected energy = -1.88 eV per atom; energy of formation = -0.166 eV per atom; V = 30.04 Å³ per atom
1.0
-2.746 -3.031 -1.966
0.132 -3.442 5.120
-6.832 4.231 3.020
Zn Sr
4 4
Direct
0.750 0.093 0.525 Zn
0.250 0.593 0.975 Zn
0.750 0.407 0.025 Zn
0.250 0.907 0.475 Zn
0.250 0.111 0.822 Sr
0.750 0.889 0.178 Sr
0.750 0.611 0.678 Sr
0.250 0.389 0.322 Sr



3.
SrZr3Zn (GGA-PBEsol, optimized geometry); symmetry = Pm-3m; uncorrected energy = -4.28 eV per atom; energy of formation = 1.860 eV per atom; V = 25.19 Å³ per atom
1.0
-0.917 2.383 -4.314
-4.756 -1.577 0.140
-1.291 4.119 2.549
Zr Zn Sr
3 1 1
Direct
0.000 0.500 0.000 Zr
0.500 0.000 0.000 Zr
0.000 0.000 0.500 Zr
0.500 0.500 0.500 Zn
0.000 0.000 0.000 Sr



4.
SrZr3 (GGA-PBEsol, optimized geometry); symmetry = Pm-3m; uncorrected energy = -4.53 eV per atom; energy of formation = 2.750 eV per atom; V = 34.86 Å³ per atom
1.0
5.186 0.000 0.000
0.000 5.186 0.000
0.000 0.000 5.186
Zr Sr
3 1
Direct
0.000 0.500 0.000 Zr
0.500 0.000 0.000 Zr
0.000 0.000 0.500 Zr
0.000 0.000 0.000 Sr



5.
SrZr2 (GGA-PBEsol, optimized geometry); symmetry = P-3m1; uncorrected energy = -6.09 eV per atom; energy of formation = 0.582 eV per atom; energy relative to the lowest polymorph listed for this composition = 130 meV per atom; V = 26.06 Å³ per atom
1.0
-2.751 0.250 1.096
-2.059 -0.287 -5.104
0.749 -4.606 2.933
Zr Sr
2 1
Direct
0.720 0.333 0.667 Zr
0.280 0.667 0.333 Zr
0.000 0.000 0.000 Sr



6.
SrZr (GGA-PBEsol, optimized geometry); symmetry = Pmmn; uncorrected energy = -5.00 eV per atom; energy of formation = 0.460 eV per atom; energy relative to the lowest polymorph listed for this composition = 109 meV per atom; V = 33.52 Å³ per atom
1.0
3.334 0.000 0.000
0.000 4.555 0.000
0.000 0.000 8.827
Sr Zr
2 2
Direct
0.000 0.000 0.673 Sr
0.500 0.500 0.327 Sr
0.500 0.000 0.053 Zr
0.000 0.500 0.947 Zr